# 1
Co2CuMo | PBE | optimized geometry Values from VASP.

Computed properties:
ΔE_f = 0.238 eV per atom
total magnetic moment = 2.7 μB/f.u.
total DFT energy (no corrections) = -28.19 eV per cell
space group = No. 10
V = 12.51 A^3/atom

Cell and atoms, written as Quantum ESPRESSO input:
```
&SYSTEM
  ibrav = 0, nat = 4, ntyp = 3
/
ATOMIC_SPECIES
Co 58.93 Co.upf
Mo 95.94 Mo.upf
Cu 63.55 Cu.upf
CELL_PARAMETERS angstrom
4.190 0.000 0.000
0.000 2.518 -0.033
0.000 0.522 4.736
ATOMIC_POSITIONS crystal
Co 0.000 0.002 0.008
Co 0.000 0.498 0.492
Mo 0.500 0.750 0.750
Cu 0.500 0.250 0.250
```

---

# 2
CoCuMo2 | PBE | optimized geometry Values from VASP.

Computed properties:
ΔE_f = 0.136 eV per atom
total magnetic moment = 0.0 μB/f.u.
total DFT energy (no corrections) = -32.32 eV per cell
space group = No. 6
V = 13.47 A^3/atom

Cell and atoms, written as Quantum ESPRESSO input:
```
&SYSTEM
  ibrav = 0, nat = 4, ntyp = 3
/
ATOMIC_SPECIES
Mo 95.94 Mo.upf
Cu 63.55 Cu.upf
Co 58.93 Co.upf
CELL_PARAMETERS angstrom
4.278 0.000 0.000
0.000 2.636 -0.008
0.000 0.469 4.775
ATOMIC_POSITIONS crystal
Mo 0.000 0.045 0.965
Mo 0.500 0.210 0.289
Cu 0.500 0.620 0.767
Co 0.000 0.624 0.479
```